The following is a PBE calculation of BC2S after structural relaxation, from Alexandria.

Its relative energy among the computed polymorphs is 0.2734 eV/atom. The calculation puts the total moment at 0.000 μB per atom. Its uncorrected formation energy is 0.6664 eV per atom.

It has space group P1 (No. 1), with a = 3.178 Å, b = 4.044 Å, c = 4.052 Å, α = 101.63°, β = 100.47° and γ = 98.20°. The inequivalent atoms are B at (0.000, 0.000, 0.000), C at (0.022, 0.184, 0.700), C at (0.985, 0.142, 0.377) and S at (0.453, 0.701, 0.020).

The following is a PBE calculation of BC2S after structural relaxation, from Alexandria.

Its relative energy among the computed polymorphs is 0.2330 eV/atom. The calculation puts the total moment at 0.000 μB per atom. Its uncorrected formation energy is 0.6260 eV per atom.

It has space group Cm (No. 8), with a = 7.167 Å, b = 2.790 Å, c = 4.423 Å, α = 90.00°, β = 115.29° and γ = 90.00°. The inequivalent atoms are B at (0.000, 0.000, 0.000), C at (0.087, 0.500, 0.936), C at (0.235, 0.500, 0.795) and S at (0.205, 0.000, 0.492).

The following is a PBE calculation of BC2S after structural relaxation, from Alexandria.

Its relative energy among the computed polymorphs is 0.2524 eV/atom. The calculation puts the total moment at 0.000 μB per atom. Its uncorrected formation energy is 0.6454 eV per atom.

It has space group Pm (No. 6), with a = 3.818 Å, b = 2.764 Å, c = 4.757 Å, α = 90.00°, β = 111.79° and γ = 90.00°. The inequivalent atoms are B at (0.000, 0.000, 0.000), C at (0.022, 0.000, 0.330), C at (0.994, 0.500, 0.856) and S at (0.868, 0.500, 0.470).

The following is a PBE calculation of BC2S after structural relaxation, from Alexandria.

Its relative energy among the computed polymorphs is 0.2043 eV/atom. The calculation puts the total moment at 0.000 μB per atom. Its uncorrected formation energy is 0.5972 eV per atom.

It has space group P1 (No. 1), with a = 2.745 Å, b = 3.832 Å, c = 5.971 Å, α = 85.71°, β = 77.11° and γ = 69.08°. The inequivalent atoms are B at (0.000, 0.000, 0.000), C at (0.154, 0.580, 0.115), C at (0.400, 0.197, 0.005) and S at (0.542, 0.604, 0.323).

The following is a PBE calculation of BC2S after structural relaxation, from Alexandria.

Its relative energy among the computed polymorphs is 0.2022 eV/atom. The calculation puts the total moment at 0.000 μB per atom. Its uncorrected formation energy is 0.5952 eV per atom.

It has space group P1 (No. 1), with a = 3.795 Å, b = 3.872 Å, c = 4.436 Å, α = 96.28°, β = 112.03° and γ = 90.27°. The inequivalent atoms are B at (0.000, 0.000, 0.000), C at (0.389, 0.998, 0.999), C at (0.691, 0.234, 0.030) and S at (0.611, 0.632, 0.861).

The following is a PBE calculation of BSbCS2 after structural relaxation, from Alexandria.

The calculation puts the total moment at 0.000 μB per atom. Its uncorrected formation energy is 1.7138 eV per atom.

It has space group P4/mmm (No. 123), with a = 3.990 Å, b = 3.990 Å, c = 4.833 Å, α = 90.00°, β = 90.00° and γ = 90.00°. The inequivalent atoms are B at (0.000, 0.000, 0.000), Sb at (0.500, 0.500, 0.000), C at (0.500, 0.500, 0.500) and S at (0.000, 0.500, 0.500).